Here is a relaxed structure of KDyCoBr6 from Alexandria via LeMat-Bulk. Energies are from PBE.

Lattice parameters (Å, degrees): 7.041 7.041 7.373 89.88 90.12 59.84
Last column: magnetic moment on the atom in μB.
Fractional positions:
Dy 0.334 0.334 0.500  0.00
Br 0.385 0.635 0.286  0.06
Br 0.635 0.385 0.714  0.06
Br 0.641 0.980 0.290  0.06
Br 0.979 0.380 0.290  0.06
Br 0.380 0.979 0.710  0.06
Br 0.980 0.641 0.710  0.06
K 0.000 0.000 0.000  0.00
Co 0.667 0.667 0.500  2.46

Density of states at the Fermi level   0.98 states/eV per cell
Mass density   3.888 Mg/m³
M_tot   0.333 μB per atom
E_form (uncorrected)   -1.30 eV/atom